--- a ---
! PBE Cd2ReCl, optimized geometry; values from VASP
! Crystal system ... trigonal
! D(E_F) ... 0.479 states/eV per atom
! Size of the total moment ... 0.00 μB per formula unit
&SYSTEM
  ibrav = 0, nat = 4, ntyp = 3
/
ATOMIC_SPECIES
Cd 112.41 Cd.upf
Re 186.21 Re.upf
Cl 35.45 Cl.upf
ATOMIC_POSITIONS crystal
Cd 0.000 0.000 0.000
Cd 0.241 0.241 0.241
Re 0.741 0.741 0.741
Cl 0.464 0.464 0.464
CELL_PARAMETERS angstrom
1.475 0.852 10.731
-1.475 0.852 10.731
0.000 -1.703 10.731

---

--- b ---
! PBE Cd2ReCl, optimized geometry; values from VASP
! Crystal system ... orthorhombic
! D(E_F) ... 0.659 states/eV per atom
! Size of the total moment ... 0.00 μB per formula unit
&SYSTEM
  ibrav = 0, nat = 4, ntyp = 3
/
ATOMIC_SPECIES
Cd 112.41 Cd.upf
Re 186.21 Re.upf
Cl 35.45 Cl.upf
ATOMIC_POSITIONS crystal
Cd 0.000 0.500 0.000
Cd 0.500 0.000 0.000
Re 0.000 0.000 0.500
Cl 0.500 0.500 0.500
CELL_PARAMETERS angstrom
2.980 -4.260 0.000
2.980 4.260 0.000
0.000 0.000 2.946

---

--- c ---
! PBE Cd2ReCl, optimized geometry; values from VASP
! Crystal system ... trigonal
! D(E_F) ... 0.545 states/eV per atom
! Size of the total moment ... 0.76 μB per formula unit
&SYSTEM
  ibrav = 0, nat = 4, ntyp = 3
/
ATOMIC_SPECIES
Cd 112.41 Cd.upf
Re 186.21 Re.upf
Cl 35.45 Cl.upf
ATOMIC_POSITIONS crystal
Cd 0.249 0.249 0.249
Cd 0.751 0.751 0.751
Re 0.500 0.500 0.500
Cl 0.000 0.000 0.000
CELL_PARAMETERS angstrom
1.571 0.907 8.939
-1.571 0.907 8.939
0.000 -1.814 8.939

---

Quick ranking, most stable first: a, c, b.